Compound: KFeAsAu
Source: Alexandria via LeMat-Bulk
Functional: PBE
Structure: optimized geometry

Output
E_tot ... -4.64 eV/atom

```
8
Lattice="3.844 0.000 0.000 0.000 3.844 0.000 0.000 0.000 12.428" Properties=species:S:1:pos:R:3 pbc="T T T"
As 2.883 2.883 11.095
As 0.961 0.961 1.332
Fe 0.961 2.883 0.000
Fe 2.883 0.961 0.000
Au 2.883 0.961 6.214
Au 0.961 2.883 6.214
K 0.961 0.961 9.101
K 2.883 2.883 3.326
```

Compound: NbFe2AsAu
Source: Alexandria via LeMat-Bulk
Functional: PBE
Structure: optimized geometry

Output
E_tot ... -5.57 eV/atom

```
5
Lattice="4.515 0.000 0.000 0.000 5.182 0.000 0.000 0.000 4.515" Properties=species:S:1:pos:R:3 pbc="T T T"
Nb 0.000 0.000 0.000
Au 0.000 2.591 0.000
Fe 2.258 0.000 0.000
Fe 0.000 0.000 2.258
As 2.258 2.591 2.258
```

Compound: FeAsPd2Au
Source: Alexandria via LeMat-Bulk
Functional: PBE
Structure: optimized geometry

Output
E_tot ... -4.76 eV/atom

```
5
Lattice="-0.632 2.444 -3.950 2.875 -2.562 -2.046 -3.467 -2.901 -1.240" Properties=species:S:1:pos:R:3 pbc="T T T"
Pd -0.316 1.222 -1.975
Pd -1.733 -1.451 -0.620
Au -0.612 -1.509 -3.618
Fe 0.000 0.000 0.000
As 1.438 -1.281 -1.023
```

Compound: ScFe2AsAu
Source: Alexandria via LeMat-Bulk
Functional: PBE
Structure: optimized geometry

Output
E_tot ... -5.11 eV/atom

```
5
Lattice="4.469 0.000 0.000 0.000 4.964 0.000 0.000 0.000 4.469" Properties=species:S:1:pos:R:3 pbc="T T T"
Au 2.235 2.482 2.235
Fe 0.000 0.000 2.235
Fe 2.235 0.000 0.000
As 0.000 2.482 0.000
Sc 0.000 0.000 0.000
```

Compound: FeSnAs2Au
Source: Alexandria via LeMat-Bulk
Functional: PBE
Structure: optimized geometry

Output
E_tot ... -4.70 eV/atom

```
5
Lattice="-3.693 -1.811 -1.686 2.767 -2.052 -3.857 0.681 -3.656 2.435" Properties=species:S:1:pos:R:3 pbc="T T T"
Sn 1.384 -1.026 -1.929
As -1.847 -0.905 -0.843
As 0.341 -1.828 1.217
Au -0.122 -3.760 -1.554
Fe 0.000 0.000 0.000
```

Compound: YFe2AsAu
Source: Alexandria via LeMat-Bulk
Functional: PBE
Structure: optimized geometry

Output
E_tot ... -4.71 eV/atom

```
5
Lattice="-2.543 4.024 -0.310 -4.484 -2.856 -0.293 -0.388 0.121 4.754" Properties=species:S:1:pos:R:3 pbc="T T T"
Fe -1.272 2.012 -0.155
Fe -0.194 0.061 2.377
Y 0.000 0.000 0.000
Au -2.242 -1.428 -0.146
As -3.707 0.645 2.075
```

Compound: Ga2AsAu2
Source: Alexandria via LeMat-Bulk
Functional: PBE
Structure: optimized geometry

Output
E_tot ... -3.44 eV/atom

```
10
Lattice="7.706 0.000 0.000 0.000 7.706 0.000 0.000 0.000 3.187" Properties=species:S:1:pos:R:3 pbc="T T T"
Au 2.777 6.630 0.000
Au 6.630 4.929 0.000
Au 1.076 2.777 0.000
Au 4.929 1.076 0.000
Ga 6.470 2.617 1.594
Ga 5.089 6.470 1.594
Ga 1.236 5.089 1.594
Ga 2.617 1.236 1.594
As 0.000 0.000 0.000
As 3.853 3.853 0.000
```

Compound: GaAsAu
Source: Alexandria via LeMat-Bulk
Functional: PBE
Structure: optimized geometry

Output
E_tot ... -3.67 eV/atom

```
3
Lattice="4.460 0.000 0.000 2.230 3.862 0.000 2.230 1.287 3.641" Properties=species:S:1:pos:R:3 pbc="T T T"
As 4.460 2.575 1.821
Au 2.230 1.287 0.910
Ga 0.000 0.000 0.000
```

| no. | DFT formation energy (eV/atom) |
| --- | --- |
| 1 | -0.27 |
| 2 | 1.41 |
| 3 | 0.60 |
| 4 | 1.13 |
| 5 | 0.31 |
| 6 | 1.55 |
| 7 | 0.01 |
| 8 | -0.02 |